A relaxed structure of Ba2AcTm, computed with PBE.

As for the total energy: -2.745 eV per atom. The calculation puts the density at 6.08 Mg/m³.

The structure belongs to space group R-3m (No. 166, hexagonal axes); the cell edges are 3.8693, 3.8693 and 42.3791 Å and the angles 90.00°, 90.00° and 120.00°. The distinct sites, in fractional coordinates, are Ba at (0.0000, 0.0000, 0.0836), Ac at (0.0000, 0.0000, 0.5000) and Tm at (0.0000, 0.0000, 0.0000).

A relaxed structure of BaAc2Tm, computed with PBE.

The calculation puts the density at 7.21 Mg/m³. For the energy above the most stable polymorph in this dataset, the calculation gives 138 meV/atom.

The structure belongs to space group Fm-3m (No. 225); the cell edges are 8.882, 8.882 and 8.882 Å and the angles 90.00°, 90.00° and 90.00°. The distinct sites, in fractional coordinates, are Ba at (0.000, 0.000, 0.000), Ac at (0.250, 0.250, 0.250) and Tm at (0.000, 0.000, 0.500).

A relaxed structure of BaAc2Tm, computed with PBE.

The calculation puts the density at 7.36 Mg/m³. For the energy above the most stable polymorph in this dataset, the calculation gives 86 meV/atom.

The structure belongs to space group P4/mmm (No. 123); the cell edges are 5.569, 5.569 and 5.531 Å and the angles 90.00°, 90.00° and 90.00°. The distinct sites, in fractional coordinates, are Ba at (0.000, 0.000, 0.000), Ac at (0.000, 0.500, 0.500) and Tm at (0.500, 0.500, 0.000).

A relaxed structure of BaAc6Y2, computed with PBE.

As for the total energy: -3.922 eV per atom. The calculation puts the density at 5.73 Mg/m³.

The structure belongs to space group P-31m (No. 162); the cell edges are 6.6553, 6.6553 and 12.6611 Å and the angles 90.00°, 90.00° and 120.00°. The distinct sites, in fractional coordinates, are Ba at (0.0000, 0.0000, 0.0000), Ac at (0.0000, 0.3301, 0.2778) and Y at (0.3333, 0.6667, 0.5000).

A relaxed structure of BaAc2Y, computed with PBE.

The calculation puts the density at 6.26 Mg/m³. For the energy above the most stable polymorph in this dataset, the calculation gives 96 meV/atom.

The structure belongs to space group R-3m (No. 166, hexagonal axes); the cell edges are 3.8913, 3.8913 and 41.2903 Å and the angles 90.00°, 90.00° and 120.00°. The distinct sites, in fractional coordinates, are Ba at (0.0000, 0.0000, 0.0000), Ac at (0.0000, 0.0000, 0.0943) and Y at (0.0000, 0.0000, 0.5000).

A relaxed structure of Ba3Ac5Y12, computed with PBE.

As for the total energy: -4.098 eV per atom. The calculation puts the density at 4.26 Mg/m³.

The structure belongs to space group Ia-3d (No. 230); the cell edges are 20.126, 20.126 and 20.126 Å and the angles 90.00°, 90.00° and 90.00°. The distinct sites, in fractional coordinates, are Ba at (0.000, 0.250, 0.125), Ac at (0.000, 0.000, 0.000), Ac at (0.000, 0.250, 0.375) and Y at (0.002, 0.081, 0.145).

A relaxed structure of BaAcY, computed with PBE.

The calculation puts the density at 5.72 Mg/m³. For the energy above the most stable polymorph in this dataset, the calculation gives 80 meV/atom.

The structure belongs to space group P3m1 (No. 156); the cell edges are 3.9459, 3.9459 and 9.7567 Å and the angles 90.00°, 90.00° and 120.00°. The distinct sites, in fractional coordinates, are Ba at (0.0000, 0.0000, 0.0000), Ac at (0.3333, 0.6667, 0.6319) and Y at (0.6667, 0.3333, 0.3348).

A relaxed structure of BaAc2Y, computed with PBE.

The calculation puts the density at 6.35 Mg/m³. For the energy above the most stable polymorph in this dataset, the calculation gives 131 meV/atom.

The structure belongs to space group Fm-3m (No. 225); the cell edges are 8.925, 8.925 and 8.925 Å and the angles 90.00°, 90.00° and 90.00°. The distinct sites, in fractional coordinates, are Ba at (0.000, 0.000, 0.000), Ac at (0.250, 0.250, 0.250) and Y at (0.000, 0.000, 0.500).

A relaxed structure of Ba2AcY, computed with PBE.

As for the total energy: -3.279 eV per atom. The calculation puts the density at 5.28 Mg/m³.

The structure belongs to space group R-3m (No. 166, hexagonal axes); the cell edges are 3.8935, 3.8935 and 42.4314 Å and the angles 90.00°, 90.00° and 120.00°. The distinct sites, in fractional coordinates, are Ba at (0.0000, 0.0000, 0.0840), Ac at (0.0000, 0.0000, 0.5000) and Y at (0.0000, 0.0000, 0.0000).

A relaxed structure of BaAcY, computed with PBE.

The calculation puts the density at 5.64 Mg/m³. For the energy above the most stable polymorph in this dataset, the calculation gives 72 meV/atom.

The structure belongs to space group I4mm (No. 107); the cell edges are 3.974, 3.974 and 16.891 Å and the angles 90.00°, 90.00° and 90.00°. The distinct sites, in fractional coordinates, are Ba at (0.000, 0.000, 0.000), Ac at (0.000, 0.000, 0.314) and Y at (0.000, 0.000, 0.672).

A relaxed structure of BaAc4Y, computed with PBE.

The calculation puts the density at 6.63 Mg/m³. For the energy above the most stable polymorph in this dataset, the calculation gives 231 meV/atom.

The structure belongs to space group F-43m (No. 216); the cell edges are 10.436, 10.436 and 10.436 Å and the angles 90.00°, 90.00° and 90.00°. The distinct sites, in fractional coordinates, are Ba at (0.000, 0.000, 0.000), Ac at (0.123, 0.123, 0.377) and Y at (0.250, 0.250, 0.750).

A relaxed structure of BaAc2Y, computed with PBE.

The calculation puts the density at 6.34 Mg/m³. For the energy above the most stable polymorph in this dataset, the calculation gives 0 meV/atom.

The structure belongs to space group P4/mmm (No. 123); the cell edges are 3.996, 3.996 and 11.159 Å and the angles 90.00°, 90.00° and 90.00°. The distinct sites, in fractional coordinates, are Ba at (0.000, 0.000, 0.000), Ac at (0.500, 0.500, 0.282) and Y at (0.000, 0.000, 0.500).

A relaxed structure of BaAcY, computed with PBE.

The calculation puts the density at 5.42 Mg/m³. For the energy above the most stable polymorph in this dataset, the calculation gives 0 meV/atom.

The structure belongs to space group P4/nmm (No. 129, origin choice 2); the cell edges are 4.247, 4.247 and 15.408 Å and the angles 90.00°, 90.00° and 90.00°. The distinct sites, in fractional coordinates, are Ba at (0.250, 0.250, 0.111), Ac at (0.250, 0.250, 0.696) and Y at (0.250, 0.250, 0.445).

A relaxed structure of BaAc4Y, computed with PBE.

The calculation puts the density at 7.00 Mg/m³. For the energy above the most stable polymorph in this dataset, the calculation gives 0 meV/atom.

The structure belongs to space group P4/mmm (No. 123); the cell edges are 4.010, 4.010 and 16.737 Å and the angles 90.00°, 90.00° and 90.00°. The distinct sites, in fractional coordinates, are Ba at (0.000, 0.000, 0.000), Ac at (0.000, 0.000, 0.353), Ac at (0.500, 0.500, 0.192) and Y at (0.500, 0.500, 0.500).

A relaxed structure of BaAc2Y, computed with PBE.

The calculation puts the density at 6.48 Mg/m³. For the energy above the most stable polymorph in this dataset, the calculation gives 79 meV/atom.

The structure belongs to space group P4/mmm (No. 123); the cell edges are 5.584, 5.584 and 5.592 Å and the angles 90.00°, 90.00° and 90.00°. The distinct sites, in fractional coordinates, are Ba at (0.000, 0.000, 0.000), Ac at (0.000, 0.500, 0.500) and Y at (0.500, 0.500, 0.000).

A relaxed structure of BaAc2Y, computed with PBE.

The calculation puts the density at 6.39 Mg/m³. For the energy above the most stable polymorph in this dataset, the calculation gives 11 meV/atom.

The structure belongs to space group R3m (No. 160, hexagonal axes); the cell edges are 3.9542, 3.9542 and 39.1408 Å and the angles 90.00°, 90.00° and 120.00°. The distinct sites, in fractional coordinates, are Ba at (0.0000, 0.0000, 0.0000), Ac at (0.0000, 0.0000, 0.4253), Ac at (0.0000, 0.0000, 0.5761) and Y at (0.0000, 0.0000, 0.1673).

A relaxed structure of BaAcZn, computed with PBE.

The calculation puts the density at 6.05 Mg/m³. For the energy above the most stable polymorph in this dataset, the calculation gives 179 meV/atom.

The structure belongs to space group P-6m2 (No. 187); the cell edges are 5.5528, 5.5528 and 4.4199 Å and the angles 90.00°, 90.00° and 120.00°. The distinct sites, in fractional coordinates, are Ba at (0.0000, 0.0000, 0.0000), Ac at (0.3333, 0.6667, 0.5000) and Zn at (0.6667, 0.3333, 0.5000).

A relaxed structure of Ba2AcZn, computed with PBE.

The calculation puts the density at 5.09 Mg/m³. For the energy above the most stable polymorph in this dataset, the calculation gives 211 meV/atom.

The structure belongs to space group R-3m (No. 166, hexagonal axes); the cell edges are 4.0858, 4.0858 and 38.4144 Å and the angles 90.00°, 90.00° and 120.00°. The distinct sites, in fractional coordinates, are Ba at (0.0000, 0.0000, 0.1037), Ac at (0.0000, 0.0000, 0.0000) and Zn at (0.0000, 0.0000, 0.5000).

A relaxed structure of BaAcZn3, computed with PBE.

As for the total energy: -2.196 eV per atom. The calculation puts the density at 6.21 Mg/m³.

The structure belongs to space group Cmcm (No. 63); the cell edges are 4.137, 31.135 and 4.658 Å and the angles 90.00°, 90.00° and 90.00°. The distinct sites, in fractional coordinates, are Ba at (0.000, 0.198, 0.250), Ac at (0.000, 0.064, 0.750), Zn at (0.000, 0.349, 0.250), Zn at (0.000, 0.392, 0.750) and Zn at (0.000, 0.478, 0.750).

A relaxed structure of BaAc2Zn, computed with PBE.

The calculation puts the density at 6.26 Mg/m³. For the energy above the most stable polymorph in this dataset, the calculation gives 189 meV/atom.

The structure belongs to space group R-3m (No. 166, hexagonal axes); the cell edges are 4.0345, 4.0345 and 37.0771 Å and the angles 90.00°, 90.00° and 120.00°. The distinct sites, in fractional coordinates, are Ba at (0.0000, 0.0000, 0.0000), Ac at (0.0000, 0.0000, 0.1065) and Zn at (0.0000, 0.0000, 0.5000).

A relaxed structure of Ba3AcZn8, computed with PBE.

As for the total energy: -1.835 eV per atom. The calculation puts the density at 6.46 Mg/m³.

The structure belongs to space group P3m1 (No. 156); the cell edges are 6.1649, 6.1649 and 9.0796 Å and the angles 90.00°, 90.00° and 120.00°. The distinct sites, in fractional coordinates, are Ba at (0.0000, 0.0000, 0.0000), Ba at (0.0000, 0.0000, 0.4024), Ba at (0.3333, 0.6667, 0.9036), Ac at (0.3333, 0.6667, 0.4973), Zn at (0.3727, 0.1863, 0.6991), Zn at (0.5196, 0.0393, 0.2057), Zn at (0.6667, 0.3333, 0.4523) and Zn at (0.6667, 0.3333, 0.9539).

A relaxed structure of Ba2AcZn3, computed with PBE.

As for the total energy: -2.156 eV per atom. The calculation puts the density at 5.86 Mg/m³.

The structure belongs to space group P4/mmm (No. 123); the cell edges are 4.032, 4.032 and 12.160 Å and the angles 90.00°, 90.00° and 90.00°. The distinct sites, in fractional coordinates, are Ba at (0.000, 0.000, 0.172), Ac at (0.000, 0.000, 0.500), Zn at (0.500, 0.500, 0.000) and Zn at (0.500, 0.500, 0.352).

A relaxed structure of BaAc3Zn, computed with PBE.

As for the total energy: -3.017 eV per atom. The calculation puts the density at 6.26 Mg/m³.

The structure belongs to space group Pm-3m (No. 221); the cell edges are 6.165, 6.165 and 6.165 Å and the angles 90.00°, 90.00° and 90.00°. The distinct sites, in fractional coordinates, are Ba at (0.000, 0.000, 0.000), Ac at (0.000, 0.500, 0.500) and Zn at (0.500, 0.500, 0.500).

A relaxed structure of BaAc2Zn, computed with PBE.

The calculation puts the density at 6.64 Mg/m³. For the energy above the most stable polymorph in this dataset, the calculation gives 0 meV/atom.

The structure belongs to space group P4/mmm (No. 123); the cell edges are 4.009, 4.009 and 10.217 Å and the angles 90.00°, 90.00° and 90.00°. The distinct sites, in fractional coordinates, are Ba at (0.000, 0.000, 0.000), Ac at (0.500, 0.500, 0.321) and Zn at (0.000, 0.000, 0.500).